(1)
# AlTc3F

An optimized crystal structure of AlTc3F (PBE-GGA, Alexandria via LeMat-Bulk). Values from VASP.

## Properties
raw formation energy = 0.69 eV/atom
symmetry = Pm-3m (221)
N(E_F) = 5.716 states/eV per cell
energy above the most stable polymorph in this dataset = 0.0 kJ per mole of atoms

Geometry as Quantum ESPRESSO input:
```
&SYSTEM
  ibrav = 0, nat = 5, ntyp = 3
/
ATOMIC_SPECIES
Al 26.98 Al.upf
Tc 98.00 Tc.upf
F 19.00 F.upf
CELL_PARAMETERS angstrom
4.1736 0.0000 0.0000
0.0000 4.1736 0.0000
0.0000 0.0000 4.1736
ATOMIC_POSITIONS angstrom
Al 0.0000 0.0000 0.0000
Tc 0.0000 2.0868 2.0868
Tc 2.0868 0.0000 2.0868
Tc 2.0868 2.0868 0.0000
F 2.0868 2.0868 2.0868
```

(2)
# Pm3MgRu

An optimized crystal structure of Pm3MgRu (PBE-GGA, Alexandria via LeMat-Bulk). Values from VASP.

## Properties
symmetry = Pm-3m (221)
N(E_F) = 3.519 states/eV per cell
energy above the most stable polymorph in this dataset = 12.6 kJ per mole of atoms
formation energy = -0.039 eV/atom

Geometry as Quantum ESPRESSO input:
```
&SYSTEM
  ibrav = 0, nat = 5, ntyp = 3
/
ATOMIC_SPECIES
Pm 145.00 Pm.upf
Mg 24.30 Mg.upf
Ru 101.07 Ru.upf
CELL_PARAMETERS angstrom
5.4653 0.0000 0.0000
0.0000 5.4653 0.0000
0.0000 0.0000 5.4653
ATOMIC_POSITIONS angstrom
Pm 0.0000 0.0000 2.7326
Pm 0.0000 2.7326 0.0000
Pm 2.7326 0.0000 0.0000
Mg 2.7326 2.7326 2.7326
Ru 0.0000 0.0000 0.0000
```

(3)
# Th2Zn2Ag

An optimized crystal structure of Th2Zn2Ag (PBE-GGA, Alexandria via LeMat-Bulk). Values from VASP.

## Properties
symmetry = P4/mnc (128)
N(E_F) = 20.463 states/eV per cell
energy above the most stable polymorph in this dataset = 0.8 kJ per mole of atoms
formation energy = -0.172 eV/atom

Geometry as Quantum ESPRESSO input:
```
&SYSTEM
  ibrav = 0, nat = 20, ntyp = 3
/
ATOMIC_SPECIES
Th 232.04 Th.upf
Zn 65.41 Zn.upf
Ag 107.87 Ag.upf
CELL_PARAMETERS angstrom
7.0953 0.0000 0.0000
0.0000 7.0953 0.0000
0.0000 0.0000 9.3252
ATOMIC_POSITIONS angstrom
Th 1.2065 2.3399 0.0000
Th 1.2078 2.3411 4.6626
Th 2.3399 5.8888 0.0000
Th 2.3411 5.8876 4.6626
Th 4.7555 1.2065 0.0000
Th 4.7542 1.2078 4.6626
Th 5.8888 4.7555 0.0000
Th 5.8876 4.7542 4.6626
Zn 0.9293 4.4770 2.3313
Zn 0.9293 4.4770 6.9939
Zn 2.6184 0.9293 2.3313
Zn 2.6184 0.9293 6.9939
Zn 4.4770 6.1660 2.3313
Zn 4.4770 6.1660 6.9939
Zn 6.1660 2.6184 2.3313
Zn 6.1660 2.6184 6.9939
Ag 0.0000 0.0000 2.3342
Ag 0.0000 0.0000 6.9910
Ag 3.5477 3.5477 2.3284
Ag 3.5477 3.5477 6.9968
```

(4)
# Nd3Tm2Th

An optimized crystal structure of Nd3Tm2Th (PBE-GGA, Alexandria via LeMat-Bulk). Values from VASP.

## Properties
symmetry = P1 (1)
N(E_F) = 17.322 states/eV per cell
energy above the most stable polymorph in this dataset = 4.4 kJ per mole of atoms
formation energy = 0.092 eV/atom

Geometry as Quantum ESPRESSO input:
```
&SYSTEM
  ibrav = 0, nat = 12, ntyp = 3
/
ATOMIC_SPECIES
Nd 144.24 Nd.upf
Tm 168.93 Tm.upf
Th 232.04 Th.upf
CELL_PARAMETERS angstrom
6.1668 0.0000 0.0000
-0.2113 6.8335 0.0000
-0.2052 -2.6750 9.4970
ATOMIC_POSITIONS angstrom
Nd 0.0000 0.0000 0.0000
Nd -0.1590 3.2863 6.1438
Nd 2.0616 2.5717 1.6402
Nd 2.2089 0.3265 4.8158
Nd 3.0391 3.8035 4.7730
Nd 5.3976 -0.1359 6.3582
Tm -0.2112 4.9905 3.1180
Tm 2.1225 1.7927 8.0575
Tm 2.9295 6.0066 1.6120
Tm 5.1576 3.4158 0.1614
Th 2.7689 -1.6223 8.0036
Th 5.3182 1.5129 3.1278
```

(5)
# LiTeW2

An optimized crystal structure of LiTeW2 (PBE-GGA, Alexandria via LeMat-Bulk). Values from VASP.

## Properties
raw formation energy = 0.87 eV/atom
symmetry = Pmmm (47)
N(E_F) = 3.916 states/eV per cell

Geometry as Quantum ESPRESSO input:
```
&SYSTEM
  ibrav = 0, nat = 4, ntyp = 3
/
ATOMIC_SPECIES
Li 6.94 Li.upf
Te 127.60 Te.upf
W 183.84 W.upf
CELL_PARAMETERS angstrom
2.9040 0.0000 0.0000
0.0000 4.5549 0.0000
0.0000 0.0000 5.3076
ATOMIC_POSITIONS angstrom
Li 0.0000 0.0000 0.0000
Te 0.0000 0.0000 2.6538
W 1.4520 2.2775 1.2653
W 1.4520 2.2775 4.0423
```

(6)
# Mg2H4Ir

An optimized crystal structure of Mg2H4Ir (PBE-GGA, Alexandria via LeMat-Bulk). Values from VASP.

## Properties
symmetry = Amm2 (38)
N(E_F) = 1.035 states/eV per cell
energy above the most stable polymorph in this dataset = 5.8 kJ per mole of atoms

Geometry as Quantum ESPRESSO input:
```
&SYSTEM
  ibrav = 0, nat = 7, ntyp = 3
/
ATOMIC_SPECIES
Mg 24.30 Mg.upf
H 1.01 H.upf
Ir 192.22 Ir.upf
CELL_PARAMETERS angstrom
3.3942 0.0000 0.0000
0.0000 3.2097 3.2097
0.0000 -3.2097 3.2097
ATOMIC_POSITIONS angstrom
Mg 0.0000 -1.6056 3.2097
Mg 0.0000 1.6056 3.2097
H 1.6971 0.0000 0.0750
H 1.6971 -1.5241 1.5986
H 1.6971 1.5241 1.5986
H 1.6971 0.0000 3.1232
Ir 1.6971 0.0000 4.8090
```

(7)
# LiMgZr2

An optimized crystal structure of LiMgZr2 (PBE-GGA, Alexandria via LeMat-Bulk). Values from VASP.

## Properties
symmetry = Cmmm (65)
N(E_F) = 4.825 states/eV per cell
formation energy = 0.220 eV/atom

Geometry as Quantum ESPRESSO input:
```
&SYSTEM
  ibrav = 0, nat = 4, ntyp = 3
/
ATOMIC_SPECIES
Li 6.94 Li.upf
Mg 24.30 Mg.upf
Zr 91.22 Zr.upf
CELL_PARAMETERS angstrom
2.8620 -4.6294 0.0000
2.8620 4.6294 0.0000
0.0000 0.0000 3.2120
ATOMIC_POSITIONS angstrom
Li 0.0000 0.0000 0.0000
Mg 2.8620 0.0000 0.0000
Zr 1.4310 2.3147 1.6060
Zr 1.4310 -2.3147 1.6060
```

(8)
# LaMgCr2

An optimized crystal structure of LaMgCr2 (PBE-GGA, Alexandria via LeMat-Bulk). Values from VASP.

## Properties
symmetry = Cmm2 (35)
N(E_F) = 3.792 states/eV per cell
formation energy = 0.277 eV/atom

Geometry as Quantum ESPRESSO input:
```
&SYSTEM
  ibrav = 0, nat = 4, ntyp = 3
/
ATOMIC_SPECIES
La 138.91 La.upf
Mg 24.30 Mg.upf
Cr 52.00 Cr.upf
CELL_PARAMETERS angstrom
2.2159 -2.2345 0.0000
2.2159 2.2345 0.0000
0.0000 0.0000 8.0917
ATOMIC_POSITIONS angstrom
La 0.0000 0.0000 0.0000
Mg 2.2159 0.0000 5.2936
Cr 0.0000 0.0000 3.3803
Cr 2.2159 0.0000 2.3784
```

(9)
# NbMoRh

An optimized crystal structure of NbMoRh (PBE-GGA, Alexandria via LeMat-Bulk). Values from VASP.

## Properties
symmetry = Cm (8)
N(E_F) = 5.250 states/eV per cell
energy above the most stable polymorph in this dataset = 1.4 kJ per mole of atoms
formation energy = -0.150 eV/atom

Geometry as Quantum ESPRESSO input:
```
&SYSTEM
  ibrav = 0, nat = 6, ntyp = 3
/
ATOMIC_SPECIES
Nb 92.91 Nb.upf
Mo 95.94 Mo.upf
Rh 102.91 Rh.upf
CELL_PARAMETERS angstrom
4.7177 -2.2387 0.0000
4.7177 2.2387 0.0000
-3.0529 0.0000 4.5747
ATOMIC_POSITIONS angstrom
Nb 0.0000 0.0000 0.0000
Nb 5.4359 0.0000 1.5461
Mo 1.4233 0.0000 3.0592
Mo 3.8822 0.0000 3.7872
Rh -1.2915 0.0000 2.3773
Rh 2.6448 0.0000 0.6450
```

(10)
# UHSBr

An optimized crystal structure of UHSBr (PBE-GGA, Alexandria via LeMat-Bulk). Values from VASP.

## Properties
symmetry = Cm (8)
N(E_F) = 3.710 states/eV per cell

Geometry as Quantum ESPRESSO input:
```
&SYSTEM
  ibrav = 0, nat = 4, ntyp = 4
/
ATOMIC_SPECIES
U 238.03 U.upf
H 1.01 H.upf
S 32.06 S.upf
Br 79.90 Br.upf
CELL_PARAMETERS angstrom
3.3116 -1.9120 0.0000
3.3116 1.9120 0.0000
-2.2163 0.0000 7.1452
ATOMIC_POSITIONS angstrom
U 0.0000 0.0000 0.0000
H 2.2078 0.0000 0.1596
S 2.1991 0.0000 5.5970
Br 4.4153 0.0000 2.0235
```

(11)
# TbCoSn2

An optimized crystal structure of TbCoSn2 (PBE-GGA, Alexandria via LeMat-Bulk). Values from VASP.

## Properties
symmetry = Cmcm (63)
N(E_F) = 5.802 states/eV per cell
formation energy = -0.398 eV/atom

Geometry as Quantum ESPRESSO input:
```
&SYSTEM
  ibrav = 0, nat = 8, ntyp = 3
/
ATOMIC_SPECIES
Tb 158.93 Tb.upf
Co 58.93 Co.upf
Sn 118.71 Sn.upf
CELL_PARAMETERS angstrom
2.1696 -9.1071 0.0000
2.1696 9.1071 0.0000
0.0000 0.0000 4.5084
ATOMIC_POSITIONS angstrom
Tb 2.1696 7.0532 3.3813
Tb 2.1696 -7.0532 1.1271
Co 2.1696 3.2719 3.3813
Co 2.1696 -3.2719 1.1271
Sn 2.1696 4.5062 1.1271
Sn 2.1696 0.8585 3.3813
Sn 2.1696 -0.8585 1.1271
Sn 2.1696 -4.5062 3.3813
```

(12)
# CoPt2Se

An optimized crystal structure of CoPt2Se (PBE-GGA, Alexandria via LeMat-Bulk). Values from VASP.

## Properties
raw formation energy = 0.23 eV/atom
symmetry = Cmmm (65)
N(E_F) = 4.084 states/eV per cell

Geometry as Quantum ESPRESSO input:
```
&SYSTEM
  ibrav = 0, nat = 4, ntyp = 3
/
ATOMIC_SPECIES
Co 58.93 Co.upf
Pt 195.08 Pt.upf
Se 78.96 Se.upf
CELL_PARAMETERS angstrom
2.7661 -3.8785 0.0000
2.7661 3.8785 0.0000
0.0000 0.0000 2.8580
ATOMIC_POSITIONS angstrom
Co 0.0000 0.0000 0.0000
Pt 1.3830 1.9393 1.4290
Pt 1.3830 -1.9393 1.4290
Se 2.7661 0.0000 0.0000
```

(13)
# TaFeSe2

An optimized crystal structure of TaFeSe2 (PBE-GGA, Alexandria via LeMat-Bulk). Values from VASP.

## Properties
raw formation energy = 0.25 eV/atom
symmetry = I-4m2 (119)
N(E_F) = 3.355 states/eV per cell
energy above the most stable polymorph in this dataset = 74.7 kJ per mole of atoms

Geometry as Quantum ESPRESSO input:
```
&SYSTEM
  ibrav = 0, nat = 4, ntyp = 3
/
ATOMIC_SPECIES
Ta 180.95 Ta.upf
Fe 55.84 Fe.upf
Se 78.96 Se.upf
CELL_PARAMETERS angstrom
-1.8475 1.8475 4.8893
1.8475 -1.8475 4.8893
1.8475 1.8475 -4.8893
ATOMIC_POSITIONS angstrom
Ta 0.0000 0.0000 0.0000
Fe 1.8475 0.0000 2.4446
Se 0.0000 0.0000 4.8893
Se 0.0000 1.8475 2.4446
```

(14)
# RbSi2PtI

An optimized crystal structure of RbSi2PtI (PBE-GGA, Alexandria via LeMat-Bulk). Values from VASP.

## Properties
raw formation energy = 2.01 eV/atom
symmetry = P4/mmm (123)
N(E_F) = 4.193 states/eV per cell

Geometry as Quantum ESPRESSO input:
```
&SYSTEM
  ibrav = 0, nat = 5, ntyp = 4
/
ATOMIC_SPECIES
Rb 85.47 Rb.upf
Si 28.09 Si.upf
Pt 195.08 Pt.upf
I 126.90 I.upf
CELL_PARAMETERS angstrom
5.8597 0.0000 0.0000
0.0000 5.8597 0.0000
0.0000 0.0000 5.1619
ATOMIC_POSITIONS angstrom
Rb 0.0000 0.0000 0.0000
Si 0.0000 2.9298 0.0000
Si 2.9298 0.0000 0.0000
Pt 0.0000 0.0000 2.5810
I 2.9298 2.9298 2.5810
```

(15)
# Cu

An optimized crystal structure of Cu (PBE-GGA, Alexandria via LeMat-Bulk). Values from VASP.

## Properties
symmetry = P6_3/m (176)
N(E_F) = 2.290 states/eV per cell
energy above the most stable polymorph in this dataset = 16.4 kJ per mole of atoms
formation energy = 0.170 eV/atom

Geometry as Quantum ESPRESSO input:
```
&SYSTEM
  ibrav = 0, nat = 12, ntyp = 1
/
ATOMIC_SPECIES
Cu 63.55 Cu.upf
CELL_PARAMETERS angstrom
6.6492 0.0000 0.0000
-3.3246 5.7584 0.0000
0.0000 0.0000 4.1248
ATOMIC_POSITIONS angstrom
Cu -2.3177 4.6573 1.0312
Cu -1.4094 3.5566 3.0936
Cu 0.4501 1.4226 1.0312
Cu 1.4571 0.3215 3.0936
Cu 0.9492 2.7595 3.0936
Cu 2.8644 0.5577 1.0312
Cu 0.4602 5.2007 3.0936
Cu 2.3754 2.9989 1.0312
Cu 1.8675 5.4369 1.0312
Cu 2.8745 4.3358 3.0936
Cu 4.7341 2.2018 1.0312
Cu 5.6423 1.1011 3.0936
```

(16)
# Pa2Zn2Si

An optimized crystal structure of Pa2Zn2Si (PBE-GGA, Alexandria via LeMat-Bulk). Values from VASP.

## Properties
raw formation energy = 0.03 eV/atom
symmetry = I4/mmm (139)
N(E_F) = 7.309 states/eV per cell

Geometry as Quantum ESPRESSO input:
```
&SYSTEM
  ibrav = 0, nat = 5, ntyp = 3
/
ATOMIC_SPECIES
Pa 231.04 Pa.upf
Zn 65.41 Zn.upf
Si 28.09 Si.upf
CELL_PARAMETERS angstrom
-1.8104 1.8104 8.1448
1.8104 -1.8104 8.1448
1.8104 1.8104 -8.1448
ATOMIC_POSITIONS angstrom
Pa 0.0000 0.0000 1.4442
Pa 0.0000 0.0000 14.8454
Zn 1.8104 0.0000 4.0724
Zn 0.0000 1.8104 4.0724
Si 0.0000 0.0000 8.1448
```

(17)
# LiAc2Cd3Ge4

An optimized crystal structure of LiAc2Cd3Ge4 (PBE-GGA, Alexandria via LeMat-Bulk). Values from VASP.

## Properties
symmetry = P-4m2 (115)
N(E_F) = 2.195 states/eV per cell
formation energy = -0.391 eV/atom

Geometry as Quantum ESPRESSO input:
```
&SYSTEM
  ibrav = 0, nat = 10, ntyp = 4
/
ATOMIC_SPECIES
Li 6.94 Li.upf
Ac 227.00 Ac.upf
Cd 112.41 Cd.upf
Ge 72.64 Ge.upf
CELL_PARAMETERS angstrom
4.6749 0.0000 0.0000
0.0000 4.6749 0.0000
0.0000 0.0000 11.0793
ATOMIC_POSITIONS angstrom
Li 0.0000 0.0000 0.0000
Ac 0.0000 2.3374 8.2576
Ac 2.3374 0.0000 2.8217
Cd 0.0000 2.3374 4.1123
Cd 2.3374 0.0000 6.9669
Cd 2.3374 2.3374 0.0000
Ge 0.0000 0.0000 5.5396
Ge 0.0000 2.3374 1.4940
Ge 2.3374 0.0000 9.5853
Ge 2.3374 2.3374 5.5396
```

(18)
# YTmSc2As4

An optimized crystal structure of YTmSc2As4 (PBE-GGA, Alexandria via LeMat-Bulk). Values from VASP.

## Properties
symmetry = P2/m (10)
N(E_F) = 1.059 states/eV per cell
formation energy = -1.443 eV/atom

Geometry as Quantum ESPRESSO input:
```
&SYSTEM
  ibrav = 0, nat = 8, ntyp = 4
/
ATOMIC_SPECIES
Y 88.91 Y.upf
Tm 168.93 Tm.upf
Sc 44.96 Sc.upf
As 74.92 As.upf
CELL_PARAMETERS angstrom
6.8993 0.0000 0.0000
0.0000 3.9930 0.0000
-2.3082 0.0000 6.5148
ATOMIC_POSITIONS angstrom
Y 0.0000 0.0000 0.0000
Tm -1.1541 1.9965 3.2574
Sc 2.2956 0.0000 3.2574
Sc 3.4496 1.9965 0.0000
As 0.0762 0.0000 4.9009
As 1.2303 1.9965 1.6722
As 3.3608 1.9965 4.8426
As 4.5149 0.0000 1.6139
```

(19)
# ZnTc2Sb

An optimized crystal structure of ZnTc2Sb (PBE-GGA, Alexandria via LeMat-Bulk). Values from VASP.

## Properties
raw formation energy = 0.36 eV/atom
symmetry = Immm (71)
N(E_F) = 4.517 states/eV per cell
energy above the most stable polymorph in this dataset = 24.7 kJ per mole of atoms

Geometry as Quantum ESPRESSO input:
```
&SYSTEM
  ibrav = 0, nat = 4, ntyp = 3
/
ATOMIC_SPECIES
Zn 65.41 Zn.upf
Tc 98.00 Tc.upf
Sb 121.76 Sb.upf
CELL_PARAMETERS angstrom
-1.5842 2.4312 4.2470
1.5842 -2.4312 4.2470
1.5842 2.4312 -4.2470
ATOMIC_POSITIONS angstrom
Zn 0.0000 0.0000 0.0000
Tc 1.5842 0.0000 2.1122
Tc 0.0000 2.4312 2.1348
Sb 0.0000 0.0000 4.2470
```

(20)
# Pr2AlGeRh6

An optimized crystal structure of Pr2AlGeRh6 (PBE-GGA, Alexandria via LeMat-Bulk). Values from VASP.

## Properties
symmetry = Immm (71)
N(E_F) = 8.291 states/eV per cell
formation energy = -0.386 eV/atom

Geometry as Quantum ESPRESSO input:
```
&SYSTEM
  ibrav = 0, nat = 10, ntyp = 4
/
ATOMIC_SPECIES
Pr 140.91 Pr.upf
Al 26.98 Al.upf
Ge 72.64 Ge.upf
Rh 102.91 Rh.upf
CELL_PARAMETERS angstrom
-3.2326 3.2564 4.5881
3.2326 -3.2564 4.5881
3.2326 3.2564 -4.5881
ATOMIC_POSITIONS angstrom
Pr 0.0000 0.0000 2.2960
Pr 0.0000 0.0000 6.8802
Al 0.0000 3.2564 0.0000
Ge 3.2326 0.0000 0.0000
Rh 1.6065 1.6350 0.0000
Rh 3.2326 0.0000 2.3057
Rh 1.6261 -1.6215 4.5881
Rh 1.6065 4.8779 0.0000
Rh 0.0000 3.2564 2.2824
Rh 1.6261 1.6215 4.5881
```

no.,energy (eV per atom)
1,-6.6490
2,-5.0638
3,-4.2194
4,-5.0188
5,-6.8657
6,-3.9584
7,-4.9317
8,-6.1654
9,-9.5671
10,-6.1763
11,-5.3338
12,-5.4430
13,-6.5729
14,-1.8724
15,-3.9265
16,-5.3635
17,-3.5252
18,-6.7177
19,-6.1733
20,-6.5884